1.
The following is a GGA-PBE calculation of a relaxed Np2ZnGa3 crystal, from OQMD.

Computed properties:
Density: 11.09 g/cm3
DFT total energy: -6.2051 eV per atom

Cell lengths 5.5983, 5.5983, 8.2606 Å; angles 90.00, 90.00, 120.00 degrees
Closest atoms and distances in Å follow each position.
Space group P6_3/mmc (No. 194)
Symmetry-distinct sites (fractional):
Np1 0.3333 0.6667 0.0922 x4  1 Np 2.61
Zn1 0.0000 0.0000 0.0000 x2  6 Ga 2.67
Ga1 0.1739 0.3479 0.7500 x6  2 Zn 2.67, 4 Ga 2.68-2.92

2.
The following is a GGA-PBE calculation of a relaxed Re2BO4 crystal, from OQMD.

Computed properties:
Density: 11.75 g/cm3
DFT total energy: -8.3960 eV per atom

Cell lengths 7.9671, 7.9671, 7.9671 Å; angles 90.00, 90.00, 90.00 degrees
Closest atoms and distances in Å follow each position.
Space group Fd-3m (No. 227, origin choice 2)
Symmetry-distinct sites (fractional):
Re1 0.0000 0.0000 0.0000 x16  6 O 2.15
B1 0.1250 0.1250 0.6250 x8  4 O 1.47
O1 0.0184 0.0184 0.7316 x32  1 B 1.47

3.
The following is a GGA-PBE calculation of a relaxed YTlFeAg crystal, from OQMD.

Computed properties:
Offset from the most stable computed form: 0 meV per atom
Density: 9.01 g/cm3

Cell lengths 6.9575, 6.9575, 6.9575 Å; angles 90.00, 90.00, 90.00 degrees
Closest atoms and distances in Å follow each position.
Space group F-43m (No. 216)
Symmetry-distinct sites (fractional):
Y1 0.0000 0.0000 0.0000 x4  4 Tl 3.01, 4 Ag 3.01
Tl1 0.2500 0.2500 0.2500 x4  4 Fe 3.01, 4 Y 3.01
Fe1 0.0000 0.0000 0.5000 x4  4 Ag 3.01, 4 Tl 3.01
Ag1 0.2500 0.2500 0.7500 x4  4 Fe 3.01, 4 Y 3.01

4.
The following is a GGA-PBE calculation of a relaxed CoTcNiAs crystal, from OQMD.

Computed properties:
Offset from the most stable computed form: 0 meV per atom
Density: 9.66 g/cm3

Cell lengths 5.8468, 5.8468, 5.8468 Å; angles 90.00, 90.00, 90.00 degrees
Closest atoms and distances in Å follow each position.
Space group F-43m (No. 216)
Symmetry-distinct sites (fractional):
Co1 0.0000 0.0000 0.0000 x4  4 As 2.53, 4 Ni 2.53
Tc1 0.0000 0.0000 0.5000 x4  4 Ni 2.53, 4 As 2.53
Ni1 0.2500 0.2500 0.2500 x4  4 Co 2.53, 4 Tc 2.53
As1 0.2500 0.2500 0.7500 x4  4 Co 2.53, 4 Tc 2.53

5.
The following is a GGA-PBE calculation of a relaxed NaSr3Pd crystal, from OQMD.

Computed properties:
Offset from the most stable computed form: 2 meV per atom
Density: 3.05 g/cm3

Cell lengths 8.4552, 8.4552, 5.9825 Å; angles 90.00, 90.00, 90.00 degrees
Closest atoms and distances in Å follow each position.
Space group P4/mbm (No. 127)
Symmetry-distinct sites (fractional):
Na1 0.0000 0.5000 0.0000 x2  12 Sr 4.21-4.25
Sr1 0.0000 0.0000 0.0000 x2  2 Pd 2.99
Sr2 0.2477 0.2523 0.5000 x4  2 Pd 2.99
Pd1 0.0000 0.0000 0.5000 x2  6 Sr 2.99

6.
The following is a GGA-PBE calculation of a relaxed Gd2YSn2Pb5 crystal, from OQMD.

Computed properties:
Offset from the most stable computed form: 18 meV per atom
Density: 9.93 g/cm3

Cell lengths 4.5606, 27.0057, 4.5539 Å; angles 90.00, 90.00, 90.00 degrees
Closest atoms and distances in Å follow each position.
Space group Cmmm (No. 65)
Symmetry-distinct sites (fractional):
Gd1 0.0000 0.1890 0.0000 x4  8 Pb 3.27-3.57, 2 Sn 3.38
Y1 0.0000 0.5000 0.5000 x2  8 Pb 3.22-3.47, 4 Sn 3.46
Sn1 0.0000 0.0964 0.5000 x4  6 Pb 3.22-3.46, 2 Gd 3.38, 2 Y 3.46
Pb1 0.0000 0.0000 0.0000 x2  4 Y 3.22, 4 Sn 3.46, 4 Pb 3.47
Pb2 0.0000 0.2907 0.5000 x4  2 Pb 3.17, 4 Gd 3.27
Pb3 0.0000 0.4032 0.0000 x4  4 Sn 3.22, 2 Gd 3.38, 2 Y 3.47, 2 Pb 3.47

7.
The following is a GGA-PBE calculation of a relaxed BaHgO3 crystal, from OQMD.

Computed properties:
Density: 6.93 g/cm3
DFT total energy: -4.1962 eV per atom

Cell lengths 6.5317, 8.6196, 6.5722 Å; angles 90.00, 90.00, 90.00 degrees
Closest atoms and distances in Å follow each position.
Space group Pnma (No. 62)
Symmetry-distinct sites (fractional):
Ba1 0.0000 0.0000 0.0000 x4  6 O 2.60-2.74
Hg1 0.0435 0.2500 0.4875 x4  3 O 2.00-2.06
O1 0.1592 0.6033 0.6547 x8  1 Hg 2.06
O2 0.2032 0.7500 0.1579 x4  1 Hg 2.00

8.
The following is a GGA-PBE calculation of a relaxed Tm2Si3W2 crystal, from OQMD.

Computed properties:
Density: 10.10 g/cm3
DFT total energy: -7.4810 eV per atom

Cell lengths 14.6575, 3.8146, 4.7954 Å; angles 90.00, 104.37, 90.00 degrees
Closest atoms and distances in Å follow each position.
Space group C2/m (No. 12)
Symmetry-distinct sites (fractional):
Tm1 0.0936 0.0000 0.2316 x4  5 Si 2.79-2.84, 1 Tm 3.07
Si1 0.0000 0.5000 0.5000 x2  2 W 2.50
Si2 0.2373 0.5000 0.3279 x4  2 Si 2.49, 4 W 2.51-2.66
W1 0.1674 0.5000 0.7884 x4  5 Si 2.50-2.66

9.
The following is a GGA-PBE calculation of a relaxed K3RbAu2N2 crystal, from OQMD.

Computed properties:
Density: 5.38 g/cm3
DFT total energy: -3.2841 eV per atom

Cell lengths 5.5035, 6.8678, 5.5061 Å; angles 90.00, 112.22, 90.00 degrees
Closest atoms and distances in Å follow each position.
Space group Pm (No. 6)
Symmetry-distinct sites (fractional):
K1 0.0000 0.0000 0.0000 x1  2 N 2.89-3.01
K2 0.1749 0.5000 0.1825 x1  2 N 2.95, 1 Rb 3.25
K3 0.3565 0.0000 0.6412 x1  2 N 2.90-3.02
Rb1 0.5320 0.5000 0.8278 x1  2 N 2.88-3.08
Au1 0.7670 0.2486 0.4113 x2  2 N 2.10-2.11
N1 0.5679 0.0000 0.2092 x1  2 Au 2.11
N2 0.9663 0.5000 0.6041 x1  2 Au 2.10

10.
The following is a GGA-PBE calculation of a relaxed ScZnCoSi crystal, from OQMD.

Computed properties:
Offset from the most stable computed form: 5 meV per atom
Density: 5.98 g/cm3

Cell lengths 6.0291, 6.0291, 6.0291 Å; angles 90.00, 90.00, 90.00 degrees
Closest atoms and distances in Å follow each position.
Space group F-43m (No. 216)
Symmetry-distinct sites (fractional):
Sc1 0.0000 0.0000 0.0000 x4  4 Co 2.61, 4 Zn 2.61
Zn1 0.2500 0.2500 0.2500 x4  4 Sc 2.61, 4 Si 2.61
Co1 0.2500 0.2500 0.7500 x4  4 Sc 2.61, 4 Si 2.61
Si1 0.0000 0.0000 0.5000 x4  4 Zn 2.61, 4 Co 2.61

11.
The following is a GGA-PBE calculation of a relaxed CuGeIr2 crystal, from OQMD.

Computed properties:
Density: 14.98 g/cm3
DFT total energy: -6.2672 eV per atom

Cell lengths 6.1339, 6.1339, 6.1339 Å; angles 90.00, 90.00, 90.00 degrees
Closest atoms and distances in Å follow each position.
Space group F-43m (No. 216)
Symmetry-distinct sites (fractional):
Cu1 0.0000 0.0000 0.0000 x4  4 Ir 2.66, 4 Ge 2.66
Ge1 0.2500 0.2500 0.7500 x4  4 Cu 2.66, 4 Ir 2.66
Ir1 0.0000 0.0000 0.5000 x4  4 Ge 2.66, 4 Ir 2.66
Ir2 0.2500 0.2500 0.2500 x4  4 Cu 2.66, 4 Ir 2.66

12.
The following is a GGA-PBE calculation of a relaxed LiPaPt crystal, from OQMD.

Computed properties:
Offset from the most stable computed form: 0 meV per atom
Density: 10.59 g/cm3

Cell lengths 6.4767, 6.4767, 6.4767 Å; angles 90.00, 90.00, 90.00 degrees
Closest atoms and distances in Å follow each position.
Space group F-43m (No. 216)
Symmetry-distinct sites (fractional):
Li1 0.0000 0.0000 0.0000 x4  4 Pt 2.80
Pa1 0.0000 0.0000 0.5000 x4  4 Pt 2.80
Pt1 0.2500 0.2500 0.2500 x4  4 Pa 2.80, 4 Li 2.80